1.
## TlTc2Ni (PBE)

Data for crystalline TlTc2Ni at its relaxed geometry.

Calculated values
* theoretical density: 12.1 g/cm³
* crystal system: cubic
* total magnetization: 0.267 μB per atom
* E above lowest polymorph: 0.194 eV per atom
* symmetry: No. 216
* calculated formation energy: 0.57 eV per atom

```
TlTc2Ni
1.0
4.4603 0.0000 0.0000
2.2302 3.8628 0.0000
2.2302 1.2876 3.6418
Tl Tc Ni
1 2 1
Cartesian
6.6905 3.8628 2.7314
0.0000 0.0000 0.0000
2.2302 1.2876 0.9105
4.4603 2.5752 1.8209
```


2.
## TlTcNi (PBE)

Data for crystalline TlTcNi at its relaxed geometry.

Calculated values
* theoretical density: 12.1 g/cm³
* crystal system: trigonal
* total magnetization: 0.000 μB per atom
* E above lowest polymorph: 0.105 eV per atom
* symmetry: No. 156
* calculated formation energy: 0.58 eV per atom

```
TlTcNi
1.0
-2.4017 1.5022 -0.7668
-0.1187 -2.9201 0.2673
-1.6340 0.6518 6.3948
Tc Tl Ni
1 1 1
Cartesian
-2.1358 0.2256 1.5156
-1.9847 -1.0053 4.2470
-0.0339 0.0135 0.1328
```


3.
## Tl2TcNi (PBE)

Data for crystalline Tl2TcNi at its relaxed geometry.

Calculated values
* theoretical density: 11.9 g/cm³
* crystal system: cubic
* total magnetization: 0.831 μB per atom
* E above lowest polymorph: 0.413 eV per atom
* symmetry: No. 216
* calculated formation energy: 0.89 eV per atom

```
Tl2TcNi
1.0
4.8129 0.0000 0.0000
2.4065 4.1681 0.0000
2.4065 1.3894 3.9297
Ni Tc Tl
1 1 2
Cartesian
4.8129 2.7787 1.9649
7.2194 4.1681 2.9473
2.4065 1.3894 0.9824
0.0000 0.0000 0.0000
```


4.
## Tl2TcNi (PBE)

Data for crystalline Tl2TcNi at its relaxed geometry.

Calculated values
* theoretical density: 11.9 g/cm³
* crystal system: monoclinic
* total magnetization: 0.128 μB per atom
* E above lowest polymorph: 0.081 eV per atom
* symmetry: No. 6
* calculated formation energy: 0.56 eV per atom

```
Tl2TcNi
1.0
-1.6516 1.0227 3.6365
-3.2592 -1.5418 -1.0466
-0.1440 -5.2344 1.4067
Tl Ni Tc
2 1 1
Cartesian
-1.7799 -1.5902 1.9760
-3.3189 -6.3181 0.2696
-2.3020 -3.7025 -0.0042
-2.7587 -4.3070 2.2955
```


D(E_F) across the listed records, respectively: 4.384, 2.701, 1.871, 4.570 states/eV/cell.